(1)
Material: LiPm3Ho2Te6
Method: DFT, PBE
State: optimized geometry

a = 9.831 Å, b = 9.831 Å, c = 8.799 Å
α = 103.40°, β = 103.40°, γ = 25.75°
Fractional coordinates of all 12 atoms:
Li (0.000, 0.000, 0.000)
Pm (0.000, 0.000, 0.500)
Pm (0.333, 0.333, 0.170)
Pm (0.667, 0.667, 0.830)
Ho (0.333, 0.333, 0.664)
Ho (0.667, 0.667, 0.336)
Te (0.161, 0.161, 0.087)
Te (0.169, 0.169, 0.578)
Te (0.498, 0.498, 0.763)
Te (0.502, 0.502, 0.237)
Te (0.831, 0.831, 0.422)
Te (0.839, 0.839, 0.913)

## Properties
The energy relative to the elements, uncorrected is -1.344 eV per atom. The calculated volume comes out at 358.8 Å³/cell. The symmetry is C2/m (12). As for the density of states at the Fermi level: 0.371 states/eV/atom.

=====

(2)
Material: LiPm2HoTe5
Method: DFT, PBE
State: optimized geometry

a = 9.590 Å, b = 9.590 Å, c = 13.213 Å
α = 90.00°, β = 90.00°, γ = 153.58°
Fractional coordinates of all 18 atoms:
Li (0.058, 0.942, 0.500)
Li (0.942, 0.058, 0.000)
Pm (0.373, 0.627, 0.338)
Pm (0.394, 0.606, 0.722)
Pm (0.606, 0.394, 0.222)
Pm (0.627, 0.373, 0.838)
Ho (0.302, 0.698, 0.046)
Ho (0.698, 0.302, 0.546)
Te (0.002, 0.998, 0.819)
Te (0.138, 0.862, 0.035)
Te (0.189, 0.811, 0.382)
Te (0.218, 0.782, 0.704)
Te (0.453, 0.547, 0.109)
Te (0.547, 0.453, 0.609)
Te (0.782, 0.218, 0.204)
Te (0.811, 0.189, 0.882)
Te (0.862, 0.138, 0.535)
Te (0.998, 0.002, 0.319)

## Properties
The energy relative to the elements, uncorrected is -1.307 eV per atom. The calculated volume comes out at 540.8 Å³/cell. The symmetry is Cmc2_1 (36).

=====

(3)
Material: Li2PmHoTe4
Method: DFT, PBE
State: optimized geometry

a = 7.506 Å, b = 4.384 Å, c = 7.590 Å
α = 90.00°, β = 109.65°, γ = 90.00°
Fractional coordinates of all 8 atoms:
Li (0.000, 0.000, 0.000)
Li (0.000, 0.500, 0.500)
Pm (0.500, 0.000, 0.500)
Ho (0.500, 0.500, 0.000)
Te (0.241, 0.500, 0.241)
Te (0.244, 0.000, 0.754)
Te (0.756, 0.000, 0.246)
Te (0.759, 0.500, 0.759)

## Properties
The energy relative to the elements, uncorrected is -1.291 eV per atom. The calculated volume comes out at 235.2 Å³/cell. The symmetry is P2/m (10).

=====

(4)
Material: LiPm2HoTe4
Method: DFT, PBE
State: optimized geometry

a = 7.581 Å, b = 4.368 Å, c = 7.632 Å
α = 90.00°, β = 109.15°, γ = 90.00°
Fractional coordinates of all 8 atoms:
Li (0.000, 0.000, 0.000)
Pm (0.000, 0.500, 0.500)
Pm (0.500, 0.000, 0.500)
Ho (0.500, 0.500, 0.000)
Te (0.240, 0.500, 0.234)
Te (0.249, 0.000, 0.765)
Te (0.751, 0.000, 0.235)
Te (0.760, 0.500, 0.766)

## Properties
The energy relative to the elements, uncorrected is -1.346 eV per atom. The calculated volume comes out at 238.7 Å³/cell. The symmetry is P2/m (10). As for the density of states at the Fermi level: 0.414 states/eV/atom.

=====

(5)
Material: Li4PmHo3Te8
Method: DFT, PBE
State: optimized geometry

a = 8.674 Å, b = 8.674 Å, c = 8.674 Å
α = 60.29°, β = 60.29°, γ = 60.29°
Fractional coordinates of all 16 atoms:
Li (0.000, 0.000, 0.000)
Li (0.000, 0.500, 0.500)
Li (0.500, 0.000, 0.500)
Li (0.500, 0.500, 0.000)
Pm (0.500, 0.500, 0.500)
Ho (0.000, 0.000, 0.500)
Ho (0.000, 0.500, 0.000)
Ho (0.500, 0.000, 0.000)
Te (0.245, 0.245, 0.754)
Te (0.245, 0.754, 0.245)
Te (0.246, 0.755, 0.755)
Te (0.251, 0.251, 0.251)
Te (0.749, 0.749, 0.749)
Te (0.754, 0.245, 0.245)
Te (0.755, 0.246, 0.755)
Te (0.755, 0.755, 0.246)

## Properties
The energy relative to the elements, uncorrected is -1.288 eV per atom. The calculated volume comes out at 464.5 Å³/cell. The symmetry is R-3m (166).

=====

(6)
Material: Li2Pm3HoTe6
Method: DFT, PBE
State: optimized geometry

a = 9.815 Å, b = 9.815 Å, c = 8.797 Å
α = 103.02°, β = 103.02°, γ = 25.81°
Fractional coordinates of all 12 atoms:
Li (0.176, 0.176, 0.353)
Li (0.824, 0.824, 0.647)
Pm (0.166, 0.166, 0.835)
Pm (0.500, 0.500, 0.500)
Pm (0.834, 0.834, 0.165)
Ho (0.500, 0.500, 0.000)
Te (0.006, 0.006, 0.246)
Te (0.331, 0.331, 0.422)
Te (0.336, 0.336, 0.903)
Te (0.664, 0.664, 0.097)
Te (0.669, 0.669, 0.578)
Te (0.994, 0.994, 0.754)

## Properties
The energy relative to the elements, uncorrected is -1.334 eV per atom. The calculated volume comes out at 359.0 Å³/cell. The symmetry is C2/m (12). As for the density of states at the Fermi level: 0.339 states/eV/atom.

=====

(7)
Material: Li2PmHoTl4
Method: DFT, PBE
State: optimized geometry

a = 9.031 Å, b = 9.031 Å, c = 9.031 Å
α = 33.60°, β = 33.60°, γ = 33.60°
Fractional coordinates of all 8 atoms:
Li (0.249, 0.249, 0.249)
Li (0.751, 0.751, 0.751)
Pm (0.000, 0.000, 0.000)
Ho (0.500, 0.500, 0.500)
Tl (0.127, 0.127, 0.127)
Tl (0.377, 0.377, 0.377)
Tl (0.623, 0.623, 0.623)
Tl (0.873, 0.873, 0.873)

## Properties
For the calculated formation energy, the calculation gives -0.32 eV/atom. The calculated volume comes out at 200.9 Å³/cell. The symmetry is R-3m (166). As for the density of states at the Fermi level: 0.218 states/eV/atom.

=====

(8)
Material: Li2PmHo2Tl2
Method: DFT, PBE
State: optimized geometry

a = 9.361 Å, b = 9.361 Å, c = 9.361 Å
α = 30.10°, β = 30.10°, γ = 30.10°
Fractional coordinates of all 7 atoms:
Li (0.097, 0.097, 0.097)
Li (0.903, 0.903, 0.903)
Pm (0.500, 0.500, 0.500)
Ho (0.372, 0.372, 0.372)
Ho (0.628, 0.628, 0.628)
Tl (0.240, 0.240, 0.240)
Tl (0.760, 0.760, 0.760)

## Properties
For the calculated formation energy, the calculation gives -0.18 eV/atom. The calculated volume comes out at 182.7 Å³/cell. The symmetry is R-3m (166). As for the density of states at the Fermi level: 0.767 states/eV/atom.

=====

(9)
Material: LiPmHoTl
Method: DFT, PBE
State: optimized geometry

a = 5.343 Å, b = 5.343 Å, c = 5.343 Å
α = 60.00°, β = 60.00°, γ = 60.00°
Fractional coordinates of all 4 atoms:
Li (0.000, 0.000, 0.000)
Pm (0.750, 0.750, 0.750)
Ho (0.250, 0.250, 0.250)
Tl (0.500, 0.500, 0.500)

## Properties
For the calculated formation energy, the calculation gives -0.19 eV/atom. The calculated volume comes out at 107.9 Å³/cell. The symmetry is F-43m (216). As for the density of states at the Fermi level: 0.994 states/eV/atom.

=====

(10)
Material: LiPmYHo
Method: DFT, PBE
State: optimized geometry

a = 5.530 Å, b = 5.530 Å, c = 5.530 Å
α = 60.00°, β = 60.00°, γ = 60.00°
Fractional coordinates of all 4 atoms:
Li (0.000, 0.000, 0.000)
Pm (0.500, 0.500, 0.500)
Y (0.750, 0.750, 0.750)
Ho (0.250, 0.250, 0.250)

## Properties
For the calculated formation energy, the calculation gives 0.21 eV/atom. The calculated volume comes out at 119.6 Å³/cell. The symmetry is F-43m (216). As for the density of states at the Fermi level: 1.022 states/eV/atom.

=====

(11)
Material: LiPmHoZn
Method: DFT, PBE
State: optimized geometry

a = 3.659 Å, b = 3.659 Å, c = 7.400 Å
α = 90.00°, β = 90.00°, γ = 90.00°
Fractional coordinates of all 4 atoms:
Li (0.000, 0.000, 0.000)
Pm (0.500, 0.500, 0.723)
Ho (0.500, 0.500, 0.258)
Zn (0.000, 0.000, 0.478)

## Properties
For the energy above the lowest structure with this stoichiometry, the calculation gives 0.00 eV per formula unit. For the calculated formation energy, the calculation gives -0.12 eV/atom. The calculated volume comes out at 99.1 Å³/cell. The symmetry is P4mm (99). As for the density of states at the Fermi level: 1.141 states/eV/atom.

=====

(12)
Material: LiPmHoZn
Method: DFT, PBE
State: optimized geometry

a = 5.157 Å, b = 5.157 Å, c = 5.157 Å
α = 60.00°, β = 60.00°, γ = 60.00°
Fractional coordinates of all 4 atoms:
Li (0.000, 0.000, 0.000)
Pm (0.750, 0.750, 0.750)
Ho (0.250, 0.250, 0.250)
Zn (0.500, 0.500, 0.500)

## Properties
For the energy above the lowest structure with this stoichiometry, the calculation gives 0.03 eV per formula unit. For the calculated formation energy, the calculation gives -0.11 eV/atom. The calculated volume comes out at 97.0 Å³/cell. The symmetry is F-43m (216). As for the density of states at the Fermi level: 1.406 states/eV/atom.

=====

The lowest calculated volume belongs to which entry? number 12

=====

Look up the calculated volume of the first one. 358.8 Å³/cell

=====

Which value of calculated volume does entry 11 give? 99.1 Å³/cell

=====

Number 9 is which compound? LiPmHoTl